## CaCoTe2F (PBE with a Hubbard U)

Data for crystalline CaCoTe2F at its relaxed geometry.

Cell lengths 6.031, 6.031, 4.079 Å; angles 90.00, 90.00, 90.00 degrees
Space group P4/mmm (No. 123)
Inequivalent atoms, fractional coordinates:
Ca: 0.000 0.000 0.000 x1
Co: 0.500 0.500 0.500 x1
Te: 0.000 0.500 0.000 x2
F: 0.000 0.000 0.500 x1

Values from the calculation:
The calculation puts the volume at 29.7 Å³ per atom. As for the total energy: -0.26875 Ry per atom.